A relaxed structure of BaMnO3, computed with PBE with a Hubbard U. Values from VASP.

Structure (Quantum ESPRESSO input):
```
&SYSTEM
  ibrav = 0, nat = 30, ntyp = 3
/
ATOMIC_SPECIES
Ba 137.33 Ba.upf
Mn 54.94 Mn.upf
O 16.00 O.upf
ATOMIC_POSITIONS angstrom
Ba 0.000 0.000 3.487
Ba 0.000 0.000 10.460
Ba 0.000 3.306 1.228
Ba 0.000 3.306 5.745
Ba 2.863 1.653 8.202
Ba 2.863 1.653 12.719
Mn 0.000 0.000 0.000
Mn 0.000 0.000 6.974
Mn 0.000 3.306 9.138
Mn 0.000 3.306 11.782
Mn 2.863 1.653 2.165
Mn 2.863 1.653 4.809
O -1.247 2.586 10.460
O 0.000 1.639 8.111
O 0.000 1.639 12.810
O -1.443 4.139 8.111
O -1.443 4.139 12.810
O 1.420 0.820 1.137
O 1.420 0.820 5.836
O 1.247 2.586 10.460
O 0.000 4.746 10.460
O 2.863 0.213 3.487
O 1.616 2.373 3.487
O 1.443 4.139 8.111
O 1.443 4.139 12.810
O 4.307 0.820 1.137
O 4.307 0.820 5.836
O 2.863 3.320 1.137
O 2.863 3.320 5.836
O 4.110 2.373 3.487
CELL_PARAMETERS angstrom
5.726 0.000 0.000
-2.863 4.959 0.000
0.000 0.000 13.947
```

Properties
**Mass density**: 6.04 Mg/m³
**Magnetic moment**: 18.00 μB/cell
**SG**: P6_3/mmc (194)
**E**: -6.85 eV/atom